Entry 1:
Below is Fe2CoTc after structural relaxation, with properties calculated at the PBE level.

* energy above the most stable polymorph in this dataset: 85.4 meV/atom

abc: 4.1038 4.1038 4.1038
angles: 60.00 60.00 60.00
Sites, in units of the cell vectors:
Co  0.5000  0.5000  0.5000
Fe  0.0000  0.0000  0.0000
Fe  0.2500  0.2500  0.2500
Tc  0.7500  0.7500  0.7500

---

Entry 2:
Below is Fe2CoTc after structural relaxation, with properties calculated at the PBE level.

* energy above the most stable polymorph in this dataset: 90.9 meV/atom

abc: 4.4277 4.4277 2.5822
angles: 90.00 90.00 109.52
Sites, in units of the cell vectors:
Co  0.0000  0.5000  0.5000
Fe  0.0000  0.0000  0.0000
Fe  0.5000  0.5000  0.0000
Tc  0.5000  0.0000  0.5000

---

Entry 3:
Below is Fe2CoTc after structural relaxation, with properties calculated at the PBE level.

* energy above the most stable polymorph in this dataset: 52.5 meV/atom

abc: 2.5926 3.5896 5.0868
angles: 90.00 90.00 90.00
Sites, in units of the cell vectors:
Co  0.5000  0.5000  0.7500
Fe  0.0000  0.0000  0.9874
Fe  0.0000  0.0000  0.5126
Tc  0.5000  0.5000  0.2500

---

Entry 4:
Below is FeCoTc after structural relaxation, with properties calculated at the PBE level.

* energy above the most stable polymorph in this dataset: 18.9 meV/atom

abc: 4.4440 4.4440 4.4440
angles: 146.16 131.75 60.24
Sites, in units of the cell vectors:
Co  0.9977  0.9977  0.0000
Fe  0.3366  0.3366  0.0000
Tc  0.6657  0.6657  0.0000

---

Entry 5:
Below is Fe3Co2Tc2 after structural relaxation, with properties calculated at the PBE level.

abc: 3.9032 2.5432 9.1227
angles: 90.02 77.65 90.00
Sites, in units of the cell vectors:
Fe  0.8644  0.0000  0.2712
Fe  0.0000  0.0000  0.0000
Fe  0.1356  0.0000  0.7288
Co  0.5685  0.5000  0.8630
Co  0.4315  0.5000  0.1370
Tc  0.7086  0.5000  0.5829
Tc  0.2914  0.5000  0.4171

---

Entry 6:
Below is Fe2CoTc after structural relaxation, with properties calculated at the PBE level.

* energy above the most stable polymorph in this dataset: 68.0 meV/atom

abc: 4.8049 4.8049 4.8049
angles: 145.04 128.98 63.34
Sites, in units of the cell vectors:
Co  0.2409  0.7409  0.5000
Fe  0.9958  0.9958  0.0000
Fe  0.7584  0.2584  0.5000
Tc  0.5049  0.5049  0.0000

---

Entry 7:
Below is FeCoTc after structural relaxation, with properties calculated at the PBE level.

* energy above the most stable polymorph in this dataset: 467.6 meV/atom

abc: 3.9131 3.9131 3.9131
angles: 60.00 60.00 60.00
Sites, in units of the cell vectors:
Co  0.7500  0.7500  0.7500
Fe  0.0000  0.0000  0.0000
Tc  0.5000  0.5000  0.5000

---

Entry 8:
Below is Fe2CoTc after structural relaxation, with properties calculated at the PBE level.

* energy above the most stable polymorph in this dataset: 42.1 meV/atom

abc: 2.5672 3.5921 5.0912
angles: 90.00 90.00 90.00
Sites, in units of the cell vectors:
Co  0.5000  0.5000  0.7597
Fe  0.0000  0.0000  0.9978
Fe  0.5000  0.5000  0.2443
Tc  0.0000  0.0000  0.4982

---

Asked for ΔE_f across the records above, the calculation gives 148; 153; 115; 78; 247; 130; 527; 105 meV/atom in order.